# BaOsBr2 PBE-GGA optimized geometry
data_BaOsBr2
_chemical_formula_sum 'Ba1 Os1 Br2'
_symmetry_space_group_name_H-M 'P 4/m m m'
_symmetry_Int_Tables_number 123
_symmetry_space_group_name_Hall '-P 4 2'
_cell_length_a 4.0967
_cell_length_b 4.0967
_cell_length_c 7.3767
_cell_angle_alpha 90.00
_cell_angle_beta 90.00
_cell_angle_gamma 90.00
loop_
_atom_site_label
_atom_site_type_symbol
_atom_site_fract_x
_atom_site_fract_y
_atom_site_fract_z
Ba1 Ba 0.0000 0.0000 0.0000
Os1 Os 0.0000 0.0000 0.5000
Br1 Br 0.5000 0.5000 0.2384
# Energy above the lowest structure with this stoichiometry   0.389 eV/atom
# V   124 Å³/cell
# Uncorrected formation energy   118 kJ/mol of formula units
# Magnetization   4.0 Bohr magnetons per cell
# E   -3.820 eV/atom
# DOS at the Fermi energy   1.03 states/eV/cell